1.
This record from Alexandria via LeMat-Bulk describes crystalline FeSiRh2 at its relaxed geometry. The functional is GGA-PBE.

Unit cell a=8.2463 b=8.2463 c=8.2463 alpha=19.15 beta=19.15 gamma=19.15
Last column: magnetic moment on the atom in μB.
Sites, in units of the cell vectors:
1 Fe 0.2447 0.2447 0.2447  2.13
2 Rh 0.9951 0.9951 0.9951  0.71
3 Rh 0.7590 0.7590 0.7590  -0.03
4 Si 0.5012 0.5012 0.5012  -0.04

The calculation puts the uncorrected formation energy at -0.200 eV per atom.

***

2.
This record from Alexandria via LeMat-Bulk describes crystalline Na5Ga2Sb5 at its relaxed geometry. The functional is GGA-PBE.

Unit cell a=5.2026 b=6.4180 c=11.7338 alpha=103.43 beta=90.00 gamma=113.91
Sites, in units of the cell vectors:
1 Na 0.5000 0.0000 0.5000
2 Na 0.6474 0.2949 0.0186
3 Na 0.7383 0.4767 0.3795
4 Na 0.2617 0.5233 0.6205
5 Na 0.3526 0.7051 0.9814
6 Ga 0.1149 0.2298 0.8093
7 Ga 0.8851 0.7702 0.1907
8 Sb 0.0810 0.1619 0.3709
9 Sb 0.7559 0.5118 0.7899
10 Sb 0.2441 0.4882 0.2101
11 Sb 0.9190 0.8381 0.6291
12 Sb 0.0000 0.0000 0.0000

The calculation puts the uncorrected formation energy at -0.209 eV per atom.

***

3.
This record from Alexandria via LeMat-Bulk describes crystalline Nd3Dy4In at its relaxed geometry. The functional is GGA-PBE.

Unit cell a=3.4430 b=5.8682 c=13.1194 alpha=97.44 beta=97.54 gamma=90.00
Last column: magnetic moment on the atom in μB.
Sites, in units of the cell vectors:
1 In 0.5000 0.0000 0.0000  0.00
2 Nd 0.0000 0.5000 0.0000  0.15
3 Nd 0.1503 0.7058 0.3006  0.00
4 Nd 0.8497 0.2942 0.6994  0.00
5 Dy 0.7177 0.2345 0.4353  0.00
6 Dy 0.2823 0.7655 0.5647  0.00
7 Dy 0.1000 0.1741 0.2000  0.01
8 Dy 0.9000 0.8259 0.8000  0.01

The formation energy is 0.065 eV/atom. The relative energy among the computed polymorphs is 0.175 eV per atom.

***

| no. | E (eV for the cell shown) |
| --- | --- |
| 1 | -29.4 |
| 2 | -35.8 |
| 3 | -34.9 |